AgWS2N | GGA-PBE | optimized geometry

```
AgWS2N
1.0
4.8372 0.0000 0.0000
0.0000 4.8372 0.0000
0.0000 0.0000 3.8259
Ag W S N
1 1 2 1
direct
0.0000 0.0000 0.0000 Ag
0.5000 0.5000 0.5000 W
0.0000 0.5000 0.5000 S
0.5000 0.0000 0.5000 S
0.5000 0.5000 0.0000 N
```

Values from the calculation:
For the total magnetic moment, the calculation gives 0.0 μB/f.u. The total energy comes out at -6.29 eV/atom. For the uncorrected formation energy, the calculation gives 0.19 eV per atom. The space group is P4/mmm.